Record 1
A relaxed structure of CaLaCuIr. Source: Alexandria, functional GGA-PBE.

Values from the calculation:
Density of states at the Fermi level, states/eV/cell: 2.16
Total energy, eV per atom: -5.407
E_form, eV per atom: -0.436

abc: 4.076 4.174 5.958
angles: 90.00 110.00 90.00
Fractional coordinates of all 4 atoms:
Ca (0.861, 0.500, 0.723)
La (0.141, 0.000, 0.282)
Ir (0.578, 0.500, 0.156)
Cu (0.434, 0.000, 0.868)

---

Record 2
A relaxed structure of CaLaCuIr. Source: Alexandria, functional GGA-PBE.

Values from the calculation:
Density of states at the Fermi level, states/eV/cell: 2.74
Total energy, eV per atom: -5.372
E_form, eV per atom: -0.401

abc: 4.711 4.711 5.177
angles: 90.00 90.00 120.00
Fractional coordinates of all 4 atoms:
Cu (0.000, 0.000, 0.658)
Ca (0.333, 0.667, 0.903)
Ir (0.000, 0.000, 0.153)
La (0.667, 0.333, 0.361)

---

Record 3
A relaxed structure of CaLaCuIr. Source: Alexandria, functional GGA-PBE.

Values from the calculation:
Density of states at the Fermi level, states/eV/cell: 2.49
Total energy, eV per atom: -5.297
E_form, eV per atom: -0.325

abc: 3.653 4.735 5.180
angles: 90.00 90.00 90.00
Fractional coordinates of all 4 atoms:
Ir (0.500, 0.000, 0.271)
Cu (0.500, 0.500, 0.767)
Ca (0.000, 0.000, 0.770)
La (0.000, 0.500, 0.269)

---

Record 4
A relaxed structure of CaLaCuIr. Source: Alexandria, functional GGA-PBE.

Values from the calculation:
Density of states at the Fermi level, states/eV/cell: 5.78
Total energy, eV per atom: -5.248
E_form, eV per atom: -0.276

abc: 6.175 4.324 9.775
angles: 90.00 128.10 90.00
Fractional coordinates of all 8 atoms:
Cu (0.986, 0.500, 0.859)
Cu (0.986, 0.000, 0.359)
Ca (0.632, 0.000, 0.598)
Ir (0.232, 0.500, 0.355)
Ir (0.232, 0.000, 0.855)
La (0.170, 0.000, 0.131)
Ca (0.632, 0.500, 0.098)
La (0.170, 0.500, 0.631)

---

Record 5
A relaxed structure of CaLaCuIr. Source: Alexandria, functional GGA-PBE.

Values from the calculation:
Density of states at the Fermi level, states/eV/cell: 2.20
Total energy, eV per atom: -5.277
E_form, eV per atom: -0.305

abc: 3.587 3.587 7.182
angles: 90.00 90.00 90.00
Fractional coordinates of all 4 atoms:
Ir (0.000, 0.000, 0.330)
La (0.500, 0.500, 0.117)
Ca (0.500, 0.500, 0.582)
Cu (0.000, 0.000, 0.835)

---

Record 6
A relaxed structure of CaLaCuIr. Source: Alexandria, functional GGA-PBE.

Values from the calculation:
Density of states at the Fermi level, states/eV/cell: 5.45
Total energy, eV per atom: -5.355
E_form, eV per atom: -0.384

abc: 4.606 4.113 10.179
angles: 90.00 90.00 90.00
Fractional coordinates of all 8 atoms:
Cu (0.000, 0.000, 0.562)
Cu (0.000, 0.500, 0.062)
Ir (0.500, 0.000, 0.442)
Ca (0.000, 0.500, 0.360)
Ca (0.000, 0.000, 0.860)
La (0.500, 0.000, 0.142)
Ir (0.500, 0.500, 0.942)
La (0.500, 0.500, 0.642)

---

Record 7
A relaxed structure of CaLaCuIr. Source: Alexandria, functional GGA-PBE.

Values from the calculation:
Density of states at the Fermi level, states/eV/cell: 2.74
Total energy, eV per atom: -5.308
E_form, eV per atom: -0.336

abc: 5.016 5.016 5.016
angles: 60.00 60.00 60.00
Fractional coordinates of all 4 atoms:
Cu (0.250, 0.250, 0.250)
La (0.000, 0.000, 0.000)
Ir (0.750, 0.750, 0.750)
Ca (0.500, 0.500, 0.500)

---

Record 8
A relaxed structure of LiCa2Cu6Ir. Source: Alexandria, functional GGA-PBE.

Values from the calculation:
Density of states at the Fermi level, states/eV/cell: 3.34
Total energy, eV per atom: -3.976
E_form, eV per atom: -0.040

abc: 4.891 8.822 6.541
angles: 48.00 68.00 90.01
Fractional coordinates of all 10 atoms:
Ca (0.274, 0.741, 0.452)
Cu (0.261, 0.761, 0.979)
Cu (0.241, 0.238, 0.022)
Ca (0.726, 0.259, 0.548)
Ir (0.000, 0.000, 0.000)
Cu (0.739, 0.239, 0.021)
Cu (0.253, 0.081, 0.496)
Cu (0.747, 0.919, 0.504)
Cu (0.759, 0.762, 0.978)
Li (0.500, 0.500, 0.000)

---

- What is the total energy in the third record?
  -5.297 eV per atom